1.
A geometry-optimized LuCo4Pt structure. Source: the Alexandria database, functional PBE.

a b c (Å): 6.8957 6.8957 6.8957
angles (deg): 90.00 90.00 90.00
Space group F-43m (No. 216)
Inequivalent atoms, fractional coordinates:
1 Lu 0.0000 0.0000 0.0000 x4
2 Co 0.1244 0.1244 0.3756 x16
3 Pt 0.2500 0.2500 0.7500 x4

Properties
* DFT total energy: -6.79 eV per atom
* crystal system: cubic
* V: 13.66 A^3/atom
* DFT formation energy: -27.9 kJ per mole of atoms

=====

2.
A geometry-optimized ZnFe2NiTe structure. Source: the Alexandria database, functional PBE.

a b c (Å): 4.7519 4.7519 4.6221
angles (deg): 90.00 90.00 90.00
Space group P4/mmm (No. 123)
Inequivalent atoms, fractional coordinates:
1 Zn 0.0000 0.0000 0.0000 x1
2 Fe 0.0000 0.5000 0.5000 x2
3 Ni 0.5000 0.5000 0.0000 x1
4 Te 0.5000 0.5000 0.5000 x1

Properties
* DFT total energy: -4.39 eV per atom
* crystal system: tetragonal
* V: 20.87 A^3/atom

=====

3.
A geometry-optimized Tl12CdBi6 structure. Source: the Alexandria database, functional PBE.

a b c (Å): 12.0016 12.0016 14.9677
angles (deg): 90.00 90.00 120.00
Space group R-3 (No. 148, hexagonal axes)
Inequivalent atoms, fractional coordinates:
1 Tl 0.0448 0.8612 0.3046 x18
2 Tl 0.0655 0.2252 0.9165 x18
3 Cd 0.0000 0.0000 0.5000 x3
4 Bi 0.0443 0.6004 0.2109 x18

Properties
* DFT total energy: -2.75 eV per atom
* crystal system: trigonal
* V: 32.76 A^3/atom
* DFT formation energy: 1.3 kJ per mole of atoms

=====

4.
A geometry-optimized Ac2Pr3Ho structure. Source: the Alexandria database, functional PBE.

a b c (Å): 5.3588 8.4331 11.3090
angles (deg): 72.38 76.30 71.55
Space group P-1 (No. 2)
Inequivalent atoms, fractional coordinates:
1 Ac 0.0364 0.2969 0.1303 x2
2 Ac 0.2911 0.0473 0.8701 x2
3 Pr 0.1251 0.8709 0.3788 x2
4 Pr 0.2092 0.4594 0.6225 x2
5 Pr 0.4538 0.2109 0.3813 x2
6 Ho 0.3744 0.6221 0.1289 x2

Properties
* DFT total energy: -4.49 eV per atom
* crystal system: triclinic
* V: 38.03 A^3/atom
* DFT formation energy: 3.2 kJ per mole of atoms

=====

5.
A geometry-optimized Ir2RhBr structure. Source: the Alexandria database, functional PBE.

a b c (Å): 2.7840 4.2730 11.3984
angles (deg): 90.00 90.00 90.00
Space group Immm (No. 71)
Inequivalent atoms, fractional coordinates:
1 Ir 0.0000 0.0000 0.2136 x4
2 Rh 0.0000 0.5000 0.5000 x2
3 Br 0.0000 0.5000 0.0000 x2

Properties
* DFT total energy: -5.96 eV per atom
* crystal system: orthorhombic
* V: 16.95 A^3/atom

=====

6.
A geometry-optimized NaGe2RuO8 structure. Source: the Alexandria database, functional PBE.

a b c (Å): 4.6799 5.9649 4.6896
angles (deg): 90.00 91.18 90.00
Space group P2/m (No. 10)
Inequivalent atoms, fractional coordinates:
1 Na 0.0000 0.0000 0.0000 x1
2 Ge 0.5000 0.2397 0.5000 x2
3 Ru 0.0000 0.5000 0.0000 x1
4 O 0.2077 0.2850 0.2057 x4
5 O 0.3083 0.5000 0.6903 x2
6 O 0.3195 0.0000 0.6782 x2

Properties
* DFT total energy: -6.07 eV per atom
* crystal system: monoclinic
* V: 10.91 A^3/atom

=====

7.
A geometry-optimized AcGaO3 structure. Source: the Alexandria database, functional PBE.

a b c (Å): 8.2326 11.4851 6.0054
angles (deg): 90.00 90.00 90.00
Space group Cmce (No. 64)
Inequivalent atoms, fractional coordinates:
1 Ac 0.0000 0.1218 0.2382 x8
2 Ga 0.2500 0.1072 0.7500 x8
3 O 0.0000 0.1036 0.8179 x8
4 O 0.2110 0.0000 0.5000 x8
5 O 0.2500 0.2336 0.2500 x8

Properties
* DFT total energy: -6.94 eV per atom
* crystal system: orthorhombic
* V: 14.20 A^3/atom

=====

8.
A geometry-optimized TbAgSeS structure. Source: the Alexandria database, functional PBE.

a b c (Å): 4.4413 4.4413 33.3234
angles (deg): 90.00 90.00 120.00
Space group R-3m (No. 166, hexagonal axes)
Inequivalent atoms, fractional coordinates:
1 Tb 0.0000 0.0000 0.1120 x6
2 Ag 0.0000 0.0000 0.3085 x6
3 Se 0.0000 0.0000 0.3914 x6
4 S 0.0000 0.0000 0.1969 x6

Properties
* DFT total energy: -5.02 eV per atom
* crystal system: trigonal
* V: 23.72 A^3/atom

=====

9.
A geometry-optimized CaNd2Ho structure. Source: the Alexandria database, functional PBE.

a b c (Å): 3.6637 3.6637 10.5377
angles (deg): 90.00 90.00 90.00
Space group P4/mmm (No. 123)
Inequivalent atoms, fractional coordinates:
1 Ca 0.0000 0.0000 0.0000 x1
2 Nd 0.5000 0.5000 0.2664 x2
3 Ho 0.0000 0.0000 0.5000 x1

Properties
* DFT total energy: -3.98 eV per atom
* crystal system: tetragonal
* V: 35.36 A^3/atom
* DFT formation energy: 4.3 kJ per mole of atoms

=====

10.
A geometry-optimized Ac3Zn2Pd structure. Source: the Alexandria database, functional PBE.

a b c (Å): 12.8943 4.2610 13.3768
angles (deg): 90.00 90.00 90.00
Space group Pnma (No. 62)
Inequivalent atoms, fractional coordinates:
1 Ac 0.0483 0.2500 0.1319 x4
2 Ac 0.1242 0.7500 0.5565 x4
3 Ac 0.2200 0.2500 0.7993 x4
4 Zn 0.0200 0.7500 0.3162 x4
5 Zn 0.1874 0.7500 0.9948 x4
6 Pd 0.1284 0.2500 0.3820 x4

Properties
* DFT total energy: -3.75 eV per atom
* crystal system: orthorhombic
* V: 30.62 A^3/atom
* DFT formation energy: -39.1 kJ per mole of atoms

=====

11.
A geometry-optimized LiYCdCu structure. Source: the Alexandria database, functional PBE.

a b c (Å): 6.7330 6.7330 6.7330
angles (deg): 90.00 90.00 90.00
Space group F-43m (No. 216)
Inequivalent atoms, fractional coordinates:
1 Li 0.0000 0.0000 0.0000 x4
2 Y 0.2500 0.2500 0.7500 x4
3 Cd 0.2500 0.2500 0.2500 x4
4 Cu 0.0000 0.0000 0.5000 x4

Properties
* DFT total energy: -3.53 eV per atom
* crystal system: cubic
* V: 19.08 A^3/atom
* DFT formation energy: -17.9 kJ per mole of atoms

=====

12.
A geometry-optimized Er2ScCo2 structure. Source: the Alexandria database, functional PBE.

a b c (Å): 11.6084 3.3570 5.3360
angles (deg): 90.00 104.71 90.00
Space group C2/m (No. 12)
Inequivalent atoms, fractional coordinates:
1 Er 0.1438 0.0000 0.0818 x4
2 Sc 0.0000 0.5000 0.5000 x2
3 Co 0.1953 0.0000 0.6076 x4

Properties
* DFT total energy: -6.00 eV per atom
* crystal system: monoclinic
* V: 20.11 A^3/atom
* DFT formation energy: -6.2 kJ per mole of atoms

=====

Q: The highest DFT total energy belongs to which entry?
A: Tl12CdBi6

=====

Q: The lowest DFT total energy belongs to which entry?
A: AcGaO3